No. 1
Material: HRhSe2
Method: DFT, PBE
State: relaxed

Values from the calculation:
SG: P2_1/c, No. 14
Size of the total moment: 0.000 μB/f.u.
Offset from the most stable computed form: 0.2354 eV per atom

The structure in extended XYZ format:
```
16
Lattice="6.953 0.000 0.000 0.000 5.173 0.000 -4.662 0.000 8.983" Properties=species:S:1:pos:R:3 pbc="T T T"
H -0.137 0.100 0.498
H -2.468 2.486 4.990
H 4.759 2.686 3.993
H 2.429 5.073 8.485
Rh -0.756 0.511 2.012
Rh -3.086 2.075 6.504
Rh 5.378 3.097 2.480
Rh 3.047 4.662 6.971
Se -1.758 0.132 5.923
Se 0.573 2.454 1.432
Se -1.763 3.676 7.825
Se 0.568 4.083 3.333
Se 1.724 1.089 5.651
Se 4.054 1.497 1.159
Se 1.718 2.719 7.552
Se 4.049 5.040 3.060
```



No. 2
Material: HRhSe
Method: DFT, PBE
State: relaxed

Values from the calculation:
SG: P2_1/c, No. 14
Size of the total moment: 0.000 μB/f.u.
Calculated total energy: -58.16 eV for the cell shown

The structure in extended XYZ format:
```
12
Lattice="6.184 0.000 0.000 0.000 5.682 0.000 -2.530 0.000 5.021" Properties=species:S:1:pos:R:3 pbc="T T T"
H 0.708 0.644 0.345
H -0.557 2.197 2.855
H 4.212 3.485 2.166
H 2.947 5.038 4.676
Rh -0.501 1.414 1.315
Rh -1.766 1.427 3.826
Rh 5.420 4.255 1.195
Rh 4.155 4.268 3.706
Se 1.432 3.027 0.720
Se 0.167 5.496 3.230
Se 3.487 0.186 1.791
Se 2.222 2.655 4.301
```



No. 3
Material: HRhSe2
Method: DFT, PBE
State: relaxed

Values from the calculation:
SG: P2_1/c, No. 14
Size of the total moment: 0.000 μB/f.u.
Offset from the most stable computed form: 0.2469 eV per atom

The structure in extended XYZ format:
```
16
Lattice="7.018 0.000 0.000 0.000 4.290 0.000 -2.677 0.000 9.047" Properties=species:S:1:pos:R:3 pbc="T T T"
H 0.001 0.372 2.191
H -1.337 1.773 6.714
H 5.678 2.517 2.333
H 4.340 3.918 6.857
Rh -2.008 0.753 8.043
Rh -0.670 1.393 3.519
Rh 5.011 2.898 5.528
Rh 6.349 3.538 1.004
Se 1.353 2.197 0.878
Se 0.015 4.238 5.401
Se 1.338 2.815 3.832
Se 0.000 3.620 8.355
Se 4.341 0.670 0.692
Se 3.003 1.475 5.216
Se 4.326 0.052 3.646
Se 2.988 2.093 8.169
```